{"formula": "LiZrIr2", "functional": "PBE", "state": "relaxed", "e_tot_ev_per_atom": -7.614, "ef_ev_per_atom": -0.568, "sg": "Fm-3m", "crystal_system": "cubic", "relative_energy_ev_per_atom": 0.000, "n_ef_per_ev_atom": 0.592, "cell": [[-0.2250, -3.3913, 2.8851], [1.5557, 0.4957, 4.1484], [-2.8341, 0.1814, 3.4367]], "species": ["Ir", "Ir", "Zr", "Li"], "fractional_positions": [[0.2500, 0.2500, 0.2500], [0.7500, 0.7500, 0.7500], [0.5000, 0.5000, 0.5000], [0.0000, 0.0000, 0.0000]]}

{"formula": "Ni4B", "functional": "PBE", "state": "relaxed", "e_tot_ev_per_atom": -5.852, "ef_ev_per_atom": 0.109, "sg": "Pm-3m", "crystal_system": "cubic", "relative_energy_ev_per_atom": 0.182, "n_ef_per_ev_atom": 1.098, "cell": [[3.7728, 0.0000, 0.0000], [0.0000, 3.7728, 0.0000], [0.0000, 0.0000, 3.7728]], "species": ["Ni", "Ni", "Ni", "Ni", "B"], "fractional_positions": [[0.0000, 0.5000, 0.5000], [0.0000, 0.0000, 0.0000], [0.5000, 0.5000, 0.0000], [0.5000, 0.0000, 0.5000], [0.5000, 0.5000, 0.5000]]}

{"formula": "LiBe3Ru", "functional": "PBE", "state": "relaxed", "e_tot_ev_per_atom": -3.733, "ef_ev_per_atom": 0.740, "sg": "Pm-3m", "crystal_system": "cubic", "relative_energy_ev_per_atom": 0.323, "n_ef_per_ev_atom": 0.424, "cell": [[-2.9355, -0.0524, 2.2070], [-1.2211, -3.0206, -1.6959], [1.8392, -2.0891, 2.3967]], "species": ["Li", "Be", "Be", "Be", "Ru"], "fractional_positions": [[0.0000, 0.0000, 0.0000], [0.5000, 0.0000, 0.0000], [0.0000, 0.0000, 0.5000], [0.0000, 0.5000, 0.0000], [0.5000, 0.5000, 0.5000]]}

{"formula": "Sm3Er5Pd12", "functional": "PBE", "state": "relaxed", "e_tot_ev_per_atom": -5.282, "ef_ev_per_atom": -0.318, "sg": "Ia-3d", "crystal_system": "cubic", "n_ef_per_ev_atom": 0.741, "cell": [[14.0115, 0.0000, 0.0000], [-4.6705, 13.2101, 0.0000], [-4.6705, -6.6051, 11.4403]], "species": ["Pd", "Pd", "Pd", "Pd", "Pd", "Pd", "Pd", "Pd", "Pd", "Pd", "Pd", "Pd", "Pd", "Pd", "Pd", "Pd", "Pd", "Pd", "Pd", "Pd", "Pd", "Pd", "Pd", "Pd", "Pd", "Pd", "Pd", "Pd", "Pd", "Pd", "Pd", "Pd", "Pd", "Pd", "Pd", "Pd", "Pd", "Pd", "Pd", "Pd", "Pd", "Pd", "Pd", "Pd", "Pd", "Pd", "Pd", "Pd", "Er", "Er", "Er", "Er", "Er", "Er", "Er", "Er", "Er", "Er", "Er", "Er", "Er", "Er", "Er", "Er", "Er", "Er", "Er", "Er", "Sm", "Sm", "Sm", "Sm", "Sm", "Sm", "Sm", "Sm", "Sm", "Sm", "Sm", "Sm"], "fractional_positions": [[0.1592, 0.0769, 0.9296], [0.7705, 0.3408, 0.9177], [0.5769, 0.6473, 0.4177], [0.8527, 0.2705, 0.4296], [0.7295, 0.5823, 0.1592], [0.5769, 0.9296, 0.6592], [0.4296, 0.6592, 0.0769], [0.6592, 0.4296, 0.5769], [0.2295, 0.5704, 0.6473], [0.8408, 0.9177, 0.2705], [0.1592, 0.0823, 0.7295], [0.2705, 0.8527, 0.9296], [0.0704, 0.6473, 0.7295], [0.2295, 0.6592, 0.0823], [0.8527, 0.5823, 0.9231], [0.2705, 0.4177, 0.8408], [0.3408, 0.5704, 0.4231], [0.5704, 0.2295, 0.1473], [0.0823, 0.1592, 0.2295], [0.8408, 0.9231, 0.0704], [0.6473, 0.5769, 0.9177], [0.0704, 0.4231, 0.8408], [0.0769, 0.1592, 0.4296], [0.4177, 0.1473, 0.5769], [0.6592, 0.2295, 0.5823], [0.1473, 0.7295, 0.5704], [0.6473, 0.0704, 0.2295], [0.5823, 0.7295, 0.6592], [0.4296, 0.7705, 0.8527], [0.9177, 0.0769, 0.6473], [0.0823, 0.9231, 0.3527], [0.4177, 0.2705, 0.3408], [0.9231, 0.0823, 0.8527], [0.9231, 0.8408, 0.5704], [0.5823, 0.8527, 0.4231], [0.5704, 0.3408, 0.9231], [0.4231, 0.3527, 0.5823], [0.4231, 0.0704, 0.3408], [0.7295, 0.1473, 0.0704], [0.9296, 0.3527, 0.2705], [0.0769, 0.9177, 0.1473], [0.7705, 0.4296, 0.3527], [0.3527, 0.9296, 0.7705], [0.1473, 0.4177, 0.0769], [0.9177, 0.8408, 0.7705], [0.3527, 0.4231, 0.0823], [0.9296, 0.5769, 0.1592], [0.3408, 0.7705, 0.4177], [0.6250, 0.7500, 0.8750], [0.5000, 0.5000, 0.0000], [0.0000, 0.5000, 0.5000], [0.5000, 0.5000, 0.5000], [0.6250, 0.8750, 0.2500], [0.0000, 0.5000, 0.0000], [0.7500, 0.1250, 0.8750], [0.3750, 0.2500, 0.1250], [0.0000, 0.0000, 0.0000], [0.1250, 0.3750, 0.2500], [0.3750, 0.1250, 0.7500], [0.5000, 0.0000, 0.5000], [0.1250, 0.7500, 0.3750], [0.2500, 0.8750, 0.1250], [0.5000, 0.0000, 0.0000], [0.8750, 0.6250, 0.7500], [0.0000, 0.0000, 0.5000], [0.2500, 0.3750, 0.6250], [0.7500, 0.6250, 0.3750], [0.8750, 0.2500, 0.6250], [0.6250, 0.2500, 0.3750], [0.2500, 0.6250, 0.8750], [0.8750, 0.7500, 0.1250], [0.6250, 0.3750, 0.7500], [0.1250, 0.2500, 0.8750], [0.7500, 0.8750, 0.6250], [0.1250, 0.8750, 0.7500], [0.2500, 0.1250, 0.3750], [0.7500, 0.3750, 0.1250], [0.8750, 0.1250, 0.2500], [0.3750, 0.6250, 0.2500], [0.3750, 0.7500, 0.6250]]}

{"formula": "Tc2GeN", "functional": "PBE", "state": "relaxed", "e_tot_ev_per_atom": -7.620, "sg": "Fm-3m", "crystal_system": "cubic", "relative_energy_ev_per_atom": 0.673, "n_ef_per_ev_atom": 1.283, "e_form_raw_kj_per_mol_fu": 308, "cell": [[-2.9687, -2.7540, 0.8610], [-1.1095, -0.6874, 3.9288], [-3.6887, 1.2915, 1.3655]], "species": ["Tc", "Tc", "Ge", "N"], "fractional_positions": [[0.7500, 0.7500, 0.7500], [0.2500, 0.2500, 0.2500], [0.5000, 0.5000, 0.5000], [0.0000, 0.0000, 0.0000]]}

{"formula": "Tc2OsW", "functional": "PBE", "state": "relaxed", "e_tot_ev_per_atom": -11.140, "ef_ev_per_atom": 0.089, "sg": "I4/mmm", "crystal_system": "tetragonal", "relative_energy_ev_per_atom": 0.029, "n_ef_per_ev_atom": 1.038, "cell": [[-1.8161, -0.4546, -4.4308], [3.1770, -2.1884, -2.8731], [-1.7444, -1.1253, 4.3391]], "species": ["Tc", "Tc", "Os", "W"], "fractional_positions": [[0.5000, 0.5000, 0.0000], [0.0000, 0.0000, 0.0000], [0.7500, 0.2500, 0.5000], [0.2500, 0.7500, 0.5000]]}